## P
# AcNd2Ho7 | the Alexandria database | GGA-PBE | optimized geometry
# **Calculated volume**: 40.3 Å³/atom
# **Symmetry**: Cmmm
data_AcNd2Ho7
_chemical_formula_sum 'Ac1 Nd2 Ho7'
_symmetry_space_group_name_H-M 'P 1'
_symmetry_Int_Tables_number 1
_cell_length_a 9.691
_cell_length_b 9.691
_cell_length_c 5.573
_cell_angle_alpha 90.00
_cell_angle_beta 90.00
_cell_angle_gamma 129.56
loop_
_symmetry_equiv_pos_as_xyz
'x,y,z'
loop_
_atom_site_label
_atom_site_type_symbol
_atom_site_fract_x
_atom_site_fract_y
_atom_site_fract_z
_atom_site_occupancy
Ho1 Ho 0.402 0.598 0.000 1
Ac1 Ac 0.000 0.000 0.000 1
Ho2 Ho 0.500 0.500 0.500 1
Ho3 Ho 0.905 0.706 0.500 1
Ho4 Ho 0.095 0.294 0.500 1
Ho5 Ho 0.598 0.402 0.000 1
Nd1 Nd 0.266 0.734 0.500 1
Nd2 Nd 0.734 0.266 0.500 1
Ho6 Ho 0.706 0.905 0.500 1
Ho7 Ho 0.294 0.095 0.500 1

***

## Q
# AcNd2Ho7 | the Alexandria database | GGA-PBE | optimized geometry
# **Calculated volume**: 40.0 Å³/atom
# **Symmetry**: Cmmm
data_AcNd2Ho7
_chemical_formula_sum 'Ac1 Nd2 Ho7'
_symmetry_space_group_name_H-M 'P 1'
_symmetry_Int_Tables_number 1
_cell_length_a 5.625
_cell_length_b 9.256
_cell_length_c 9.256
_cell_angle_alpha 123.96
_cell_angle_beta 90.00
_cell_angle_gamma 90.00
loop_
_symmetry_equiv_pos_as_xyz
'x,y,z'
loop_
_atom_site_label
_atom_site_type_symbol
_atom_site_fract_x
_atom_site_fract_y
_atom_site_fract_z
_atom_site_occupancy
Ho1 Ho 0.500 0.706 0.939 1
Ho2 Ho 0.500 0.061 0.294 1
Ho3 Ho 0.500 0.939 0.706 1
Ho4 Ho 0.500 0.500 0.500 1
Nd1 Nd 0.500 0.702 0.298 1
Ho5 Ho 0.000 0.222 0.778 1
Nd2 Nd 0.500 0.298 0.702 1
Ho6 Ho 0.000 0.778 0.222 1
Ho7 Ho 0.500 0.294 0.061 1
Ac1 Ac 0.000 0.000 0.000 1

***

It is Q that is the least stable of them.

***

## P
# AcNd7Ho2 | the Alexandria database | GGA-PBE | optimized geometry
# **Calculated volume**: 36.7 Å³/atom
# **Symmetry**: P-1
data_AcNd7Ho2
_chemical_formula_sum 'Ac1 Nd7 Ho2'
_symmetry_space_group_name_H-M 'P 1'
_symmetry_Int_Tables_number 1
_cell_length_a 5.749
_cell_length_b 8.872
_cell_length_c 9.444
_cell_angle_alpha 122.37
_cell_angle_beta 64.50
_cell_angle_gamma 102.86
loop_
_symmetry_equiv_pos_as_xyz
'x,y,z'
loop_
_atom_site_label
_atom_site_type_symbol
_atom_site_fract_x
_atom_site_fract_y
_atom_site_fract_z
_atom_site_occupancy
Ho1 Ho 0.323 0.771 0.510 1
Ac1 Ac 0.000 0.000 0.000 1
Nd1 Nd 0.500 0.500 0.000 1
Nd2 Nd 0.219 0.924 0.274 1
Nd3 Nd 0.372 0.293 0.263 1
Nd4 Nd 0.106 0.472 0.741 1
Ho2 Ho 0.677 0.229 0.490 1
Nd5 Nd 0.894 0.528 0.259 1
Nd6 Nd 0.781 0.076 0.726 1
Nd7 Nd 0.628 0.707 0.737 1

***

## Q
# AcNd7Ho2 | the Alexandria database | GGA-PBE | optimized geometry
# **Calculated volume**: 42.8 Å³/atom
# **Symmetry**: Cmmm
data_AcNd7Ho2
_chemical_formula_sum 'Ac1 Nd7 Ho2'
_symmetry_space_group_name_H-M 'P 1'
_symmetry_Int_Tables_number 1
_cell_length_a 5.883
_cell_length_b 9.235
_cell_length_c 9.235
_cell_angle_alpha 121.42
_cell_angle_beta 90.00
_cell_angle_gamma 90.00
loop_
_symmetry_equiv_pos_as_xyz
'x,y,z'
loop_
_atom_site_label
_atom_site_type_symbol
_atom_site_fract_x
_atom_site_fract_y
_atom_site_fract_z
_atom_site_occupancy
Nd1 Nd 0.500 0.500 0.500 1
Ho1 Ho 0.500 0.297 0.703 1
Nd2 Nd 0.500 0.061 0.300 1
Ac1 Ac 0.000 0.000 0.000 1
Nd3 Nd 0.000 0.762 0.238 1
Nd4 Nd 0.500 0.300 0.061 1
Nd5 Nd 0.000 0.238 0.762 1
Ho2 Ho 0.500 0.703 0.297 1
Nd6 Nd 0.500 0.700 0.939 1
Nd7 Nd 0.500 0.939 0.700 1

***

It is Q that is the least stable of them.

***

## P
# AcNd6Ho2 | the Alexandria database | GGA-PBE | optimized geometry
# **Calculated volume**: 35.8 Å³/atom
# **Symmetry**: P-6m2
data_AcNd6Ho2
_chemical_formula_sum 'Ac1 Nd6 Ho2'
_symmetry_space_group_name_H-M 'P 1'
_symmetry_Int_Tables_number 1
_cell_length_a 3.686
_cell_length_b 3.686
_cell_length_c 27.382
_cell_angle_alpha 90.00
_cell_angle_beta 90.00
_cell_angle_gamma 120.00
loop_
_symmetry_equiv_pos_as_xyz
'x,y,z'
loop_
_atom_site_label
_atom_site_type_symbol
_atom_site_fract_x
_atom_site_fract_y
_atom_site_fract_z
_atom_site_occupancy
Nd1 Nd 0.333 0.667 0.774 1
Ho1 Ho 0.667 0.333 0.668 1
Ac1 Ac 0.333 0.667 0.000 1
Nd2 Nd 0.333 0.667 0.434 1
Ho2 Ho 0.667 0.333 0.332 1
Nd3 Nd 0.333 0.667 0.226 1
Nd4 Nd 0.667 0.333 0.117 1
Nd5 Nd 0.667 0.333 0.883 1
Nd6 Nd 0.333 0.667 0.566 1

***

## Q
# AcNd6Ho2 | the Alexandria database | GGA-PBE | optimized geometry
# **Calculated volume**: 35.0 Å³/atom
# **Symmetry**: Cmmm
data_AcNd6Ho2
_chemical_formula_sum 'Ac2 Nd12 Ho4'
_symmetry_space_group_name_H-M 'P 1'
_symmetry_Int_Tables_number 1
_cell_length_a 5.822
_cell_length_b 12.243
_cell_length_c 12.243
_cell_angle_alpha 48.45
_cell_angle_beta 103.76
_cell_angle_gamma 103.76
loop_
_symmetry_equiv_pos_as_xyz
'x,y,z'
loop_
_atom_site_label
_atom_site_type_symbol
_atom_site_fract_x
_atom_site_fract_y
_atom_site_fract_z
_atom_site_occupancy
Ac1 Ac 0.250 0.250 0.750 1
Nd1 Nd 0.838 0.505 0.671 1
Nd2 Nd 0.080 0.080 0.580 1
Ho1 Ho 0.500 0.833 0.667 1
Nd3 Nd 0.338 0.005 0.171 1
Ho2 Ho 0.500 0.167 0.333 1
Ho3 Ho 0.000 0.333 0.167 1
Nd4 Nd 0.162 0.495 0.329 1
Nd5 Nd 0.420 0.420 0.920 1
Ac2 Ac 0.750 0.750 0.250 1
Nd6 Nd 0.338 0.671 0.505 1
Nd7 Nd 0.838 0.171 0.005 1
Ho4 Ho 0.000 0.667 0.833 1
Nd8 Nd 0.662 0.995 0.829 1
Nd9 Nd 0.580 0.580 0.080 1
Nd10 Nd 0.162 0.829 0.995 1
Nd11 Nd 0.662 0.329 0.495 1
Nd12 Nd 0.920 0.920 0.420 1

***

It is P that is the least stable of them.

***

## P
# AcNd3Ho | the Alexandria database | GGA-PBE | optimized geometry
# **Calculated volume**: 36.5 Å³/atom
# **Symmetry**: P-1
data_AcNd3Ho
_chemical_formula_sum 'Ac2 Nd6 Ho2'
_symmetry_space_group_name_H-M 'P 1'
_symmetry_Int_Tables_number 1
_cell_length_a 3.755
_cell_length_b 11.605
_cell_length_c 8.807
_cell_angle_alpha 74.91
_cell_angle_beta 90.04
_cell_angle_gamma 80.71
loop_
_symmetry_equiv_pos_as_xyz
'x,y,z'
loop_
_atom_site_label
_atom_site_type_symbol
_atom_site_fract_x
_atom_site_fract_y
_atom_site_fract_z
_atom_site_occupancy
Nd1 Nd 0.455 0.659 0.042 1
Nd2 Nd 0.233 0.102 0.017 1
Nd3 Nd 0.665 0.237 0.654 1
Ac1 Ac 0.058 0.451 0.838 1
Ho1 Ho 0.860 0.848 0.244 1
Nd4 Nd 0.024 0.524 0.406 1
Ho2 Ho 0.828 0.913 0.815 1
Ac2 Ac 0.630 0.310 0.221 1
Nd5 Nd 0.265 0.038 0.456 1
Nd6 Nd 0.424 0.723 0.603 1

***

## Q
# AcNd3Ho | the Alexandria database | GGA-PBE | optimized geometry
# **Calculated volume**: 40.1 Å³/atom
# **Symmetry**: R-3
data_AcNd3Ho
_chemical_formula_sum 'Ac2 Nd6 Ho2'
_symmetry_space_group_name_H-M 'P 1'
_symmetry_Int_Tables_number 1
_cell_length_a 6.323
_cell_length_b 6.323
_cell_length_c 12.137
_cell_angle_alpha 74.90
_cell_angle_beta 74.90
_cell_angle_gamma 60.00
loop_
_symmetry_equiv_pos_as_xyz
'x,y,z'
loop_
_atom_site_label
_atom_site_type_symbol
_atom_site_fract_x
_atom_site_fract_y
_atom_site_fract_z
_atom_site_occupancy
Ac1 Ac 0.666 0.666 0.001 1
Nd1 Nd 0.906 0.582 0.263 1
Ho1 Ho 0.834 0.834 0.498 1
Nd2 Nd 0.249 0.906 0.263 1
Nd3 Nd 0.418 0.751 0.737 1
Nd4 Nd 0.751 0.094 0.737 1
Ac2 Ac 0.334 0.334 0.999 1
Ho2 Ho 0.166 0.166 0.502 1
Nd5 Nd 0.094 0.418 0.737 1
Nd6 Nd 0.582 0.249 0.263 1

***

It is Q that is the least stable of them.